1.
VASP calculation (GGA-PBE) on crystalline GaNi2 at its relaxed geometry.

extended XYZ file:
```
12
Lattice="-3.553 -1.004 5.176 -0.134 -4.297 -0.925 7.362 0.166 -1.837" Properties=species:S:1:pos:R:3 pbc="T T T"
Ga 0.939 -0.623 0.746
Ga -0.878 -2.446 3.049
Ga 4.554 -2.689 -0.636
Ga 2.736 -4.511 1.668
Ni 1.578 -2.429 2.435
Ni 3.398 -0.532 0.148
Ni -2.170 -4.660 2.891
Ni 4.026 -2.371 1.810
Ni 2.097 -2.705 -0.022
Ni 5.846 -0.474 -0.478
Ni 0.277 -4.602 2.266
Ni -0.350 -2.763 0.604
```

Energy of formation from the pure elements ... -0.287 eV per atom
Fermi-level density of states ... 10.86 states/eV per cell
SG ... C2/c, No. 15

2.
VASP calculation (GGA-PBE) on crystalline ScNiI2N at its relaxed geometry.

extended XYZ file:
```
5
Lattice="5.828 0.000 0.000 0.000 5.828 0.000 0.000 0.000 3.884" Properties=species:S:1:pos:R:3 pbc="T T T"
Ni 2.914 2.914 1.942
Sc 0.000 0.000 0.000
I 0.000 2.914 0.000
I 2.914 0.000 0.000
N 0.000 0.000 1.942
```

Fermi-level density of states ... 10.06 states/eV per cell
Formation energy without anion corrections ... 1.9 eV/f.u.
SG ... P4/mmm, No. 123

3.
VASP calculation (GGA-PBE) on crystalline PrMgCd at its relaxed geometry.

extended XYZ file:
```
3
Lattice="5.071 0.000 0.000 2.535 4.391 0.000 2.535 1.464 4.140" Properties=species:S:1:pos:R:3 pbc="T T T"
Pr 0.000 0.000 0.000
Mg 5.071 2.928 2.070
Cd 2.535 1.464 1.035
```

Energy of formation from the pure elements ... -0.054 eV per atom
Fermi-level density of states ... 5.81 states/eV per cell
SG ... F-43m, No. 216

4.
VASP calculation (GGA-PBE) on crystalline BeMo2Cl at its relaxed geometry.

extended XYZ file:
```
4
Lattice="0.000 2.991 2.991 2.991 0.000 2.991 2.991 2.991 0.000" Properties=species:S:1:pos:R:3 pbc="T T T"
Mo 4.486 4.486 4.486
Mo 1.495 1.495 1.495
Cl 2.991 2.991 2.991
Be 0.000 0.000 0.000
```

Fermi-level density of states ... 6.56 states/eV per cell
Formation energy without anion corrections ... 3.1 eV/f.u.
SG ... Fm-3m, No. 225

5.
VASP calculation (GGA-PBE) on crystalline ReHgN3 at its relaxed geometry.

extended XYZ file:
```
5
Lattice="4.102 0.000 0.000 0.000 4.102 0.000 0.000 0.000 4.102" Properties=species:S:1:pos:R:3 pbc="T T T"
N 2.051 0.000 0.000
N 0.000 0.000 2.051
N 0.000 2.051 0.000
Re 2.051 2.051 2.051
Hg 0.000 0.000 0.000
```

Fermi-level density of states ... 2.42 states/eV per cell
Formation energy without anion corrections ... 15.9 eV/f.u.
SG ... Pm-3m, No. 221

6.
VASP calculation (GGA-PBE) on crystalline Zn6Cu12Au at its relaxed geometry.

extended XYZ file:
```
19
Lattice="-0.580 -6.593 -1.818 5.569 2.417 -3.204 1.445 0.046 6.710" Properties=species:S:1:pos:R:3 pbc="T T T"
Zn 2.284 -3.838 2.445
Zn 4.717 -0.273 1.897
Zn 3.916 -2.900 -1.477
Zn 2.517 -1.231 3.165
Zn 1.716 -3.858 -0.209
Zn 4.149 -0.293 -0.757
Cu 0.895 -2.022 1.362
Cu 1.891 -1.450 -1.033
Cu 2.381 0.154 1.027
Cu 4.052 -4.285 0.661
Cu 5.597 1.423 0.308
Cu 0.836 -5.554 1.381
Cu 4.000 0.505 4.146
Cu 4.813 -1.147 -2.994
Cu 1.620 -2.983 4.682
Cu 4.542 -2.681 2.721
Cu 5.538 -2.108 0.326
Cu 2.433 -4.636 -2.458
Au 0.000 0.000 0.000
```

Energy of formation from the pure elements ... 0.151 eV per atom
Fermi-level density of states ... 8.43 states/eV per cell
SG ... R-3m, No. 166

7.
VASP calculation (GGA-PBE) on crystalline InSbTe2Ru at its relaxed geometry.

extended XYZ file:
```
5
Lattice="-3.732 -3.943 -1.486 3.168 -3.935 2.483 -2.717 0.792 4.721" Properties=species:S:1:pos:R:3 pbc="T T T"
In 0.000 0.000 0.000
Ru -1.640 -3.543 2.859
Te 1.584 -1.967 1.242
Te -1.866 -1.972 -0.743
Sb -1.358 0.396 2.361
```

Fermi-level density of states ... 6.51 states/eV per cell
Formation energy without anion corrections ... 6.9 eV/f.u.
SG ... P4/mmm, No. 123

8.
VASP calculation (GGA-PBE) on crystalline HoZn2GaNi2 at its relaxed geometry.

extended XYZ file:
```
6
Lattice="4.379 0.000 0.000 0.000 4.379 0.000 0.000 0.000 5.505" Properties=species:S:1:pos:R:3 pbc="T T T"
Ni 0.000 2.190 0.000
Ni 2.190 0.000 0.000
Zn 2.190 2.190 1.422
Zn 2.190 2.190 4.083
Ga 0.000 0.000 0.000
Ho 0.000 0.000 2.753
```

Energy of formation from the pure elements ... -0.113 eV per atom
Fermi-level density of states ... 3.48 states/eV per cell
SG ... P4/mmm, No. 123

9.
VASP calculation (GGA-PBE) on crystalline Ce2NbSe6 at its relaxed geometry.

extended XYZ file:
```
18
Lattice="-3.737 3.639 -3.865 -6.207 -2.609 3.546 0.626 6.777 6.080" Properties=species:S:1:pos:R:3 pbc="T T T"
Se -6.131 2.050 4.308
Se -6.711 7.668 4.858
Se -2.608 0.140 0.904
Se -0.172 5.604 4.286
Se -2.204 2.732 3.187
Se -7.116 5.076 2.574
Se -3.189 5.758 1.454
Se -9.148 2.204 1.476
Se -4.215 4.929 4.877
Se -5.104 2.879 0.885
Se -6.284 -0.436 1.880
Se -3.036 8.245 3.882
Ce -5.459 7.606 2.193
Ce -2.328 3.059 0.186
Ce -3.860 0.203 3.568
Ce -6.991 4.749 5.576
Nb -4.972 0.515 -0.159
Nb 0.313 3.389 3.040
```

Fermi-level density of states ... 13.94 states/eV per cell
Formation energy without anion corrections ... -11.8 eV/f.u.
SG ... P2_1/c, No. 14

10.
VASP calculation (GGA-PBE) on crystalline Pm6Sm3TmTh2 at its relaxed geometry.

extended XYZ file:
```
12
Lattice="6.255 0.004 -0.002 -3.123 5.420 -0.002 -1.042 -1.804 11.868" Properties=species:S:1:pos:R:3 pbc="T T T"
Sm 1.045 1.810 5.932
Sm 4.171 0.005 5.932
Sm -2.080 3.615 5.932
Th 3.127 1.810 -0.002
Th 0.005 3.614 -0.002
Pm -1.047 1.820 2.911
Pm 2.100 0.002 2.911
Pm 3.138 1.800 8.953
Pm -0.009 3.618 8.953
Pm 0.010 0.017 8.951
Pm 2.081 3.603 2.914
Tm 0.000 0.000 0.000
```

Energy of formation from the pure elements ... 0.032 eV per atom
Fermi-level density of states ... 17.88 states/eV per cell
SG ... C2/m, No. 12

11.
VASP calculation (GGA-PBE) on crystalline ZrNiMo2H at its relaxed geometry.

extended XYZ file:
```
5
Lattice="-1.112 -3.537 -1.222 0.134 -1.476 4.152 -3.740 1.010 0.480" Properties=species:S:1:pos:R:3 pbc="T T T"
H 0.000 0.000 0.000
Mo -1.870 0.505 0.240
Mo -0.556 -1.768 -0.611
Zr -2.359 -2.001 1.705
Ni 0.067 -0.738 2.076
```

Fermi-level density of states ... 5.13 states/eV per cell
SG ... P4/mmm, No. 123
Final energy ... -7.84 eV/atom

12.
VASP calculation (GGA-PBE) on crystalline Ta2V2SnRu5 at its relaxed geometry.

extended XYZ file:
```
20
Lattice="-1.392 1.941 2.673 -8.115 -4.642 -0.856 2.998 -6.383 6.197" Properties=species:S:1:pos:R:3 pbc="T T T"
Ru -1.346 -3.993 4.603
Ru -7.636 -4.704 1.843
Ru 1.127 -4.380 6.172
Ru -3.168 -6.197 5.254
Ru -5.164 -5.091 3.412
Ru -4.306 -8.649 6.443
Ru -3.342 -2.887 2.760
Ru 0.803 -2.221 4.435
Ru -2.203 -0.434 1.572
Ru -4.754 -1.350 0.909
Ta -0.162 -6.770 4.832
Ta -0.451 -2.886 1.861
Ta -4.667 -8.139 3.480
Ta -4.956 -4.255 0.509
V 0.866 -4.555 3.759
V -2.435 -8.489 4.897
V -2.683 -2.536 0.445
V -5.984 -6.470 1.582
Sn 0.000 0.000 0.000
Sn -2.559 -5.513 2.671
```

Energy of formation from the pure elements ... -0.034 eV per atom
Fermi-level density of states ... 13.93 states/eV per cell
SG ... P4/mbm, No. 127